The following is a PBE+U calculation of crystalline NaCa9MnP7O28 at its relaxed geometry, from Alexandria via LeMat-Bulk.

a b c (Å): 13.8825 13.8825 13.8825
angles (deg): 44.37 44.37 44.37
Last column: nearest neighbours and their distance in Å.
Fractional positions:
Na  0.0000  0.0000  0.0000  3 O 2.46
Na  0.5000  0.5000  0.5000  3 O 2.46
Ca  0.0266  0.6225  0.6117  7 O 2.35-2.51
Ca  0.1117  0.1225  0.5266  7 O 2.35-2.51
Ca  0.1225  0.5266  0.1117  7 O 2.35-2.51
Ca  0.1275  0.7398  0.7146  8 O 2.40-2.66
Ca  0.2146  0.2398  0.6275  8 O 2.40-2.66
Ca  0.2398  0.6275  0.2146  8 O 2.40-2.66
Ca  0.2470  0.8380  0.2792  6 O 2.38-2.48
Ca  0.2792  0.2470  0.8380  6 O 2.38-2.48
Ca  0.3380  0.7470  0.7792  6 O 2.38-2.48
Ca  0.5266  0.1117  0.1225  7 O 2.35-2.51
Ca  0.6117  0.0266  0.6225  7 O 2.35-2.51
Ca  0.6225  0.6117  0.0266  7 O 2.35-2.51
Ca  0.6275  0.2146  0.2398  8 O 2.40-2.66
Ca  0.7146  0.1275  0.7398  8 O 2.40-2.66
Ca  0.7398  0.7146  0.1275  8 O 2.40-2.66
Ca  0.7470  0.7792  0.3380  6 O 2.38-2.48
Ca  0.7792  0.3380  0.7470  6 O 2.38-2.48
Ca  0.8380  0.2792  0.2470  6 O 2.38-2.48
Mn  0.1857  0.1857  0.1857  6 O 2.17-2.19
Mn  0.6857  0.6857  0.6857  6 O 2.17-2.19
P  0.0008  0.5028  0.4599  4 O 1.55-1.56
P  0.0028  0.5008  0.9599  4 O 1.55-1.56
P  0.3612  0.8776  0.9163  4 O 1.54-1.58
P  0.3776  0.8612  0.4163  4 O 1.54-1.58
P  0.4163  0.3776  0.8612  4 O 1.54-1.58
P  0.4203  0.4203  0.4203  4 O 1.55-1.56
P  0.4599  0.0008  0.5028  4 O 1.55-1.56
P  0.5008  0.9599  0.0028  4 O 1.55-1.56
P  0.5028  0.4599  0.0008  4 O 1.55-1.56
P  0.8612  0.4163  0.3776  4 O 1.54-1.58
P  0.8776  0.9163  0.3612  4 O 1.54-1.58
P  0.9163  0.3612  0.8776  4 O 1.54-1.58
P  0.9203  0.9203  0.9203  4 O 1.55-1.56
P  0.9599  0.0028  0.5008  4 O 1.55-1.56
O  0.0137  0.8326  0.5604  1 P 1.55
O  0.0162  0.5722  0.9966  1 P 1.55
O  0.0371  0.3178  0.3116  1 P 1.58
O  0.0423  0.5976  0.2872  1 P 1.55
O  0.0462  0.0683  0.3243  1 P 1.56
O  0.0512  0.8426  0.3035  1 P 1.54
O  0.0604  0.3326  0.5137  1 P 1.55
O  0.0683  0.3243  0.0462  1 P 1.56
O  0.0722  0.5162  0.4966  1 P 1.55
O  0.0754  0.7948  0.9321  1 P 1.56
O  0.0788  0.3484  0.7943  1 P 1.56
O  0.0976  0.5423  0.7872  1 P 1.55
O  0.2722  0.8352  0.9312  1 P 1.55
O  0.2872  0.0423  0.5976  1 P 1.55
O  0.2943  0.8484  0.5788  1 P 1.56
O  0.2948  0.5754  0.4321  1 P 1.56
O  0.3035  0.0512  0.8426  1 P 1.54
O  0.3116  0.0371  0.3178  1 P 1.58
O  0.3178  0.3116  0.0371  1 P 1.58
O  0.3243  0.0462  0.0683  1 P 1.56
O  0.3326  0.5137  0.0604  1 P 1.55
O  0.3352  0.7722  0.4312  1 P 1.55
O  0.3426  0.5512  0.8035  1 P 1.54
O  0.3484  0.7943  0.0788  1 P 1.56
O  0.3789  0.3789  0.3789  1 P 1.55
O  0.4312  0.3352  0.7722  1 P 1.55
O  0.4321  0.2948  0.5754  1 P 1.56
O  0.4966  0.0722  0.5162  1 P 1.55
O  0.5137  0.0604  0.3326  1 P 1.55
O  0.5162  0.4966  0.0722  1 P 1.55
O  0.5371  0.8116  0.8178  1 P 1.58
O  0.5423  0.7872  0.0976  1 P 1.55
O  0.5462  0.8243  0.5683  1 P 1.56
O  0.5512  0.8035  0.3426  1 P 1.54
O  0.5604  0.0137  0.8326  1 P 1.55
O  0.5683  0.5462  0.8243  1 P 1.56
O  0.5722  0.9966  0.0162  1 P 1.55
O  0.5754  0.4321  0.2948  1 P 1.56
O  0.5788  0.2943  0.8484  1 P 1.56
O  0.5976  0.2872  0.0423  1 P 1.55
O  0.7722  0.4312  0.3352  1 P 1.55
O  0.7872  0.0976  0.5423  1 P 1.55
O  0.7943  0.0788  0.3484  1 P 1.56
O  0.7948  0.9321  0.0754  1 P 1.56
O  0.8035  0.3426  0.5512  1 P 1.54
O  0.8116  0.8178  0.5371  1 P 1.58
O  0.8178  0.5371  0.8116  1 P 1.58
O  0.8243  0.5683  0.5462  1 P 1.56
O  0.8326  0.5604  0.0137  1 P 1.55
O  0.8352  0.9312  0.2722  1 P 1.55
O  0.8426  0.3035  0.0512  1 P 1.54
O  0.8484  0.5788  0.2943  1 P 1.56
O  0.8789  0.8789  0.8789  1 P 1.55
O  0.9312  0.2722  0.8352  1 P 1.55
O  0.9321  0.0754  0.7948  1 P 1.56
O  0.9966  0.0162  0.5722  1 P 1.55

Values from the calculation:
**ρ**: 3.08 g cm⁻³
**Volume**: 1189.4 Å³ per cell
**Electronic total energy**: -7.225 eV per atom
**Space group**: No. 161